Entry 1:
! Nd3Ga2Cu7 (GGA-PBE, optimized geometry); values from VASP
! Total magnetization ... 0.00 μB per formula unit
! Space group ... I4/mmm (139)
! Uncorrected energy ... -4.168 eV/atom
! Formation enthalpy at 0 K ... -8 kJ/mol of atoms
! DOS at the Fermi energy ... 9.52 states/eV/f.u.
! Crystal system ... tetragonal
! Volume ... 18.939 A^3/atom
&SYSTEM
  ibrav = 0, nat = 12, ntyp = 3
/
ATOMIC_SPECIES
Nd 144.24 Nd.upf
Ga 69.72 Ga.upf
Cu 63.55 Cu.upf
ATOMIC_POSITIONS crystal
Nd 0.000 0.000 0.000
Nd 0.172 0.172 0.000
Nd 0.828 0.828 0.000
Ga 0.373 0.373 0.000
Ga 0.627 0.627 0.000
Cu 0.077 0.577 0.500
Cu 0.279 0.279 0.000
Cu 0.423 0.923 0.500
Cu 0.500 0.500 0.000
Cu 0.577 0.077 0.500
Cu 0.721 0.721 0.000
Cu 0.923 0.423 0.500
CELL_PARAMETERS angstrom
-2.048 2.048 13.547
2.048 -2.048 13.547
2.048 2.048 -13.547

Entry 2:
! ScSe3N (GGA-PBE, optimized geometry); values from VASP
! Total magnetization ... 0.00 μB per formula unit
! Space group ... Pm-3m (221)
! Uncorrected energy ... -4.889 eV/atom
! ΔE_f (raw) ... 133 meV/atom
! DOS at the Fermi energy ... 2.26 states/eV/f.u.
! Crystal system ... cubic
! Volume ... 17.513 A^3/atom
&SYSTEM
  ibrav = 0, nat = 5, ntyp = 3
/
ATOMIC_SPECIES
Sc 44.96 Sc.upf
Se 78.96 Se.upf
N 14.01 N.upf
ATOMIC_POSITIONS crystal
Sc 0.000 0.000 0.000
Se 0.000 0.500 0.500
Se 0.500 0.000 0.500
Se 0.500 0.500 0.000
N 0.500 0.500 0.500
CELL_PARAMETERS angstrom
4.441 0.000 0.000
0.000 4.441 0.000
0.000 0.000 4.441